Record 1
# CdFeSnAu GGA-PBE optimized geometry
# VASP energy (eV per atom): -3.919
# Calculated density (g/cm³): 10.82
data_CdFeSnAu
_chemical_formula_sum 'Cd4 Fe4 Sn4 Au4'
_cell_length_a 6.6725
_cell_length_b 6.6725
_cell_length_c 6.6725
_cell_angle_alpha 90.00
_cell_angle_beta 90.00
_cell_angle_gamma 90.00
_space_group_name_H-M_alt 'F -4 3 m'
_space_group_IT_number 216
_space_group_name_Hall 'F -4 2 3'
loop_
_atom_site_label
_atom_site_fract_x
_atom_site_fract_y
_atom_site_fract_z
Cd1 0.0000 0.0000 0.0000
Fe1 0.2500 0.2500 0.7500
Sn1 0.0000 0.0000 0.5000
Au1 0.2500 0.2500 0.2500

Record 2
# YCoAg2 GGA-PBE optimized geometry
# Energy of formation from the pure elements (eV per atom): 0.064
# VASP energy (eV per atom): -4.742
# Calculated density (g/cm³): 8.19
data_YCoAg2
_chemical_formula_sum 'Y4 Co4 Ag8'
_cell_length_a 6.6564
_cell_length_b 6.6564
_cell_length_c 6.6564
_cell_angle_alpha 90.00
_cell_angle_beta 90.00
_cell_angle_gamma 90.00
_space_group_name_H-M_alt 'F -4 3 m'
_space_group_IT_number 216
_space_group_name_Hall 'F -4 2 3'
loop_
_atom_site_label
_atom_site_fract_x
_atom_site_fract_y
_atom_site_fract_z
Y1 0.0000 0.0000 0.0000
Co1 0.2500 0.2500 0.2500
Ag1 0.0000 0.0000 0.5000
Ag2 0.2500 0.2500 0.7500

Record 3
# Cu2Ag3 GGA-PBE optimized geometry
# Energy of formation from the pure elements (eV per atom): 0.087
# VASP energy (eV per atom): -3.094
# Calculated density (g/cm³): 9.61
data_Cu2Ag3
_chemical_formula_sum 'Cu8 Ag12'
_cell_length_a 23.1485
_cell_length_b 2.8880
_cell_length_c 4.7294
_cell_angle_alpha 90.00
_cell_angle_beta 99.79
_cell_angle_gamma 90.00
_space_group_name_H-M_alt 'C 1 2/m 1'
_space_group_IT_number 12
loop_
_space_group_symop_operation_xyz
'x,y,z'
'-x,-y,-z'
'-x,y,-z'
'x,-y,z'
'x+1/2,y+1/2,z'
'-x+1/2,-y+1/2,-z'
'-x+1/2,y+1/2,-z'
'x+1/2,-y+1/2,z'
loop_
_atom_site_label
_atom_site_fract_x
_atom_site_fract_y
_atom_site_fract_z
Cu1 0.0548 0.0000 0.3448
Cu2 0.1430 0.5000 0.5517
Ag1 0.0443 0.5000 0.8220
Ag2 0.1485 0.0000 0.0649
Ag3 0.2425 0.0000 0.7402

Record 4
# Ho4CBr3Cl2 GGA-PBE optimized geometry
# VASP energy (eV per atom): -5.155
# Calculated density (g/cm³): 6.35
data_Ho4CBr3Cl2
_chemical_formula_sum 'Ho8 C2 Br6 Cl4'
_cell_length_a 17.4740
_cell_length_b 3.7630
_cell_length_c 8.0407
_cell_angle_alpha 90.00
_cell_angle_beta 103.68
_cell_angle_gamma 90.00
_space_group_name_H-M_alt 'C 1 2/m 1'
_space_group_IT_number 12
loop_
_space_group_symop_operation_xyz
'x,y,z'
'-x,-y,-z'
'-x,y,-z'
'x,-y,z'
'x+1/2,y+1/2,z'
'-x+1/2,-y+1/2,-z'
'-x+1/2,y+1/2,-z'
'x+1/2,-y+1/2,z'
loop_
_atom_site_label
_atom_site_fract_x
_atom_site_fract_y
_atom_site_fract_z
Ho1 0.0002 0.0000 0.2022
Ho2 0.1398 0.5000 0.0768
C1 0.0000 0.5000 0.0000
Br1 0.0000 0.5000 0.5000
Br2 0.1706 0.0000 0.8283
Cl1 0.1603 0.0000 0.3268

Record 5
# Dy2YEr3Bi2Os GGA-PBE optimized geometry
# VASP energy (eV per atom): -5.933
# Calculated density (g/cm³): 10.11
data_Dy2YEr3Bi2Os
_chemical_formula_sum 'Dy4 Y2 Er6 Bi4 Os2'
_cell_length_a 4.2215
_cell_length_b 14.3349
_cell_length_c 8.2759
_cell_angle_alpha 90.00
_cell_angle_beta 90.00
_cell_angle_gamma 90.00
_space_group_name_H-M_alt 'A m m 2'
_space_group_IT_number 38
loop_
_space_group_symop_operation_xyz
'x,y,z'
'-x,-y,z'
'-x,y,z'
'x,-y,z'
'x,y+1/2,z+1/2'
'-x,-y+1/2,z+1/2'
'-x,y+1/2,z+1/2'
'x,-y+1/2,z+1/2'
loop_
_atom_site_label
_atom_site_fract_x
_atom_site_fract_y
_atom_site_fract_z
Dy1 0.0000 0.1176 0.0000
Y1 0.0000 0.0000 0.3547
Er1 0.5000 0.0000 0.7329
Er2 0.5000 0.1928 0.3100
Bi1 0.0000 0.1667 0.6177
Os1 0.5000 0.0000 0.1166

Record 6
# NdTm2Mg3AgHg2 GGA-PBE optimized geometry
# VASP energy (eV per atom): -2.773
# Calculated density (g/cm³): 8.07
data_NdTm2Mg3AgHg2
_chemical_formula_sum 'Nd2 Tm4 Mg6 Ag2 Hg4'
_cell_length_a 4.1872
_cell_length_b 13.5236
_cell_length_c 7.7352
_cell_angle_alpha 90.00
_cell_angle_beta 90.00
_cell_angle_gamma 90.00
_space_group_name_H-M_alt 'A m m 2'
_space_group_IT_number 38
loop_
_space_group_symop_operation_xyz
'x,y,z'
'-x,-y,z'
'-x,y,z'
'x,-y,z'
'x,y+1/2,z+1/2'
'-x,-y+1/2,z+1/2'
'-x,y+1/2,z+1/2'
'x,-y+1/2,z+1/2'
loop_
_atom_site_label
_atom_site_fract_x
_atom_site_fract_y
_atom_site_fract_z
Nd1 0.0000 0.0000 0.0000
Tm1 0.0000 0.2044 0.6158
Mg1 0.5000 0.0000 0.6551
Mg2 0.5000 0.1230 0.2917
Ag1 0.0000 0.0000 0.4194
Hg1 0.5000 0.1722 0.9100

Record 7
# LuHfBeIr GGA-PBE optimized geometry
# VASP energy (eV per atom): -7.088
# Calculated density (g/cm³): 13.84
data_LuHfBeIr
_chemical_formula_sum 'Lu4 Hf4 Be4 Ir4'
_cell_length_a 6.4332
_cell_length_b 6.4332
_cell_length_c 6.4332
_cell_angle_alpha 90.00
_cell_angle_beta 90.00
_cell_angle_gamma 90.00
_space_group_name_H-M_alt 'F -4 3 m'
_space_group_IT_number 216
_space_group_name_Hall 'F -4 2 3'
loop_
_atom_site_label
_atom_site_fract_x
_atom_site_fract_y
_atom_site_fract_z
Lu1 0.0000 0.0000 0.0000
Hf1 0.2500 0.2500 0.2500
Be1 0.2500 0.2500 0.7500
Ir1 0.0000 0.0000 0.5000

Record 8
# SmYZr GGA-PBE optimized geometry
# Energy of formation from the pure elements (eV per atom): 0.970
# VASP energy (eV per atom): -5.604
# Calculated density (g/cm³): 5.47
data_SmYZr
_chemical_formula_sum 'Sm4 Y4 Zr4'
_cell_length_a 7.3768
_cell_length_b 7.3768
_cell_length_c 7.3768
_cell_angle_alpha 90.00
_cell_angle_beta 90.00
_cell_angle_gamma 90.00
_space_group_name_H-M_alt 'F -4 3 m'
_space_group_IT_number 216
_space_group_name_Hall 'F -4 2 3'
loop_
_atom_site_label
_atom_site_fract_x
_atom_site_fract_y
_atom_site_fract_z
Sm1 0.0000 0.0000 0.0000
Y1 0.2500 0.2500 0.7500
Zr1 0.2500 0.2500 0.2500